# Mn2CoSe (PBE, optimized geometry)
# D(E_F) ... 4.400 states/eV/f.u.
# Theoretical density ... 7.37 g cm⁻³
# Formation energy without anion corrections ... 0.282 eV per atom
# Energy relative to the lowest polymorph listed for this composition ... 188 meV per atom
# Final energy ... -83.41 eV for the cell shown
data_Mn2CoSe
_space_group_name_H-M_alt 'R 3 m'
_space_group_IT_number 160
_space_group_name_Hall 'R 3 -2"'
_cell_length_a 2.8996
_cell_length_b 2.8996
_cell_length_c 23.0109
_cell_angle_alpha 90.00
_cell_angle_beta 90.00
_cell_angle_gamma 120.00
loop_
_atom_site_label
_atom_site_fract_x
_atom_site_fract_y
_atom_site_fract_z
_atom_site_occupancy
Mn1 0.0000 0.0000 0.0000 1
Mn2 0.0000 0.0000 0.2497 1
Co1 0.0000 0.0000 0.7474 1
Se1 0.0000 0.0000 0.4951 1